No. 1
# Pa6SnS12 PBE relaxed
data_Pa6SnS12
_cell_length_a 7.948
_cell_length_b 7.948
_cell_length_c 7.948
_cell_angle_alpha 100.78
_cell_angle_beta 100.78
_cell_angle_gamma 100.78
_space_group_name_H-M_alt 'P 1'
_space_group_IT_number 1
loop_
_space_group_symop_operation_xyz
'x,y,z'
loop_
_atom_site_label
_atom_site_fract_x
_atom_site_fract_y
_atom_site_fract_z
Pa1 0.695 0.865 0.381
Pa2 0.619 0.305 0.135
Pa3 0.135 0.619 0.305
Pa4 0.305 0.135 0.619
Pa5 0.381 0.695 0.865
Pa6 0.865 0.381 0.695
Sn1 0.000 0.000 0.000
S1 0.823 0.574 0.431
S2 0.431 0.823 0.574
S3 0.574 0.431 0.823
S4 0.177 0.426 0.569
S5 0.569 0.177 0.426
S6 0.426 0.569 0.177
S7 0.059 0.938 0.327
S8 0.062 0.673 0.941
S9 0.673 0.941 0.062
S10 0.941 0.062 0.673
S11 0.938 0.327 0.059
S12 0.327 0.059 0.938
# Space-group type = R-3 (148)
# Calculated volume = 24.82 A^3/atom
# Formation energy (no corrections) = -1428 meV/atom
# DFT total energy = -137.63 eV per cell
# DOS(E_F) = 26.577 states/eV/cell

No. 2
# HoTlIn4 PBE relaxed
data_HoTlIn4
_cell_length_a 6.131
_cell_length_b 6.131
_cell_length_c 6.131
_cell_angle_alpha 60.00
_cell_angle_beta 60.00
_cell_angle_gamma 60.00
_space_group_name_H-M_alt 'P 1'
_space_group_IT_number 1
loop_
_space_group_symop_operation_xyz
'x,y,z'
loop_
_atom_site_label
_atom_site_fract_x
_atom_site_fract_y
_atom_site_fract_z
Tl1 0.250 0.250 0.250
Ho1 0.000 0.000 0.000
In1 0.625 0.625 0.125
In2 0.625 0.125 0.625
In3 0.625 0.625 0.625
In4 0.125 0.625 0.625
# Space-group type = F-43m (216)
# Calculated volume = 27.16 A^3/atom
# DFT total energy = -18.29 eV per cell
# DOS(E_F) = 4.946 states/eV/cell

No. 3
# NbVIrRu PBE relaxed
data_NbVIrRu
_cell_length_a 4.405
_cell_length_b 4.405
_cell_length_c 4.405
_cell_angle_alpha 60.00
_cell_angle_beta 60.00
_cell_angle_gamma 60.00
_space_group_name_H-M_alt 'P 1'
_space_group_IT_number 1
loop_
_space_group_symop_operation_xyz
'x,y,z'
loop_
_atom_site_label
_atom_site_fract_x
_atom_site_fract_y
_atom_site_fract_z
Ru1 0.250 0.250 0.250
Nb1 0.500 0.500 0.500
Ir1 0.000 0.000 0.000
V1 0.750 0.750 0.750
# Space-group type = F-43m (216)
# Calculated volume = 15.11 A^3/atom
# DFT total energy = -37.66 eV per cell
# DOS(E_F) = 5.343 states/eV/cell

No. 4
# Er2Pa2Ru3 PBE relaxed
data_Er2Pa2Ru3
_cell_length_a 5.261
_cell_length_b 10.133
_cell_length_c 5.866
_cell_angle_alpha 90.00
_cell_angle_beta 93.69
_cell_angle_gamma 90.00
_space_group_name_H-M_alt 'P 1'
_space_group_IT_number 1
loop_
_space_group_symop_operation_xyz
'x,y,z'
loop_
_atom_site_label
_atom_site_fract_x
_atom_site_fract_y
_atom_site_fract_z
Er1 0.950 0.643 0.867
Er2 0.450 0.857 0.867
Er3 0.550 0.143 0.133
Er4 0.050 0.357 0.133
Pa1 0.622 0.367 0.634
Pa2 0.878 0.867 0.366
Pa3 0.122 0.133 0.634
Pa4 0.378 0.633 0.366
Ru1 0.500 0.500 0.000
Ru2 0.000 0.000 0.000
Ru3 0.625 0.102 0.641
Ru4 0.875 0.602 0.359
Ru5 0.125 0.398 0.641
Ru6 0.375 0.898 0.359
# Space-group type = P2_1/c (14)
# Calculated volume = 22.29 A^3/atom
# DFT total energy = -118.46 eV per cell
# DOS(E_F) = 12.663 states/eV/cell

No. 5
# Hf3ZrFe4 PBE relaxed
data_Hf3ZrFe4
_cell_length_a 3.144
_cell_length_b 3.144
_cell_length_c 12.589
_cell_angle_alpha 90.00
_cell_angle_beta 90.00
_cell_angle_gamma 90.00
_space_group_name_H-M_alt 'P 1'
_space_group_IT_number 1
loop_
_space_group_symop_operation_xyz
'x,y,z'
loop_
_atom_site_label
_atom_site_fract_x
_atom_site_fract_y
_atom_site_fract_z
Hf1 0.500 0.500 0.251
Hf2 0.500 0.500 0.500
Hf3 0.500 0.500 0.749
Fe1 0.000 0.000 0.872
Fe2 0.000 0.000 0.128
Fe3 0.000 0.000 0.376
Fe4 0.000 0.000 0.624
Zr1 0.500 0.500 0.000
# Space-group type = P4/mmm (123)
# Calculated volume = 15.55 A^3/atom
# DFT total energy = -74.54 eV per cell
# DOS(E_F) = 4.458 states/eV/cell

No. 6
# PuGe2Pd PBE relaxed
data_PuGe2Pd
_cell_length_a 4.179
_cell_length_b 4.285
_cell_length_c 4.285
_cell_angle_alpha 90.00
_cell_angle_beta 90.00
_cell_angle_gamma 90.00
_space_group_name_H-M_alt 'P 1'
_space_group_IT_number 1
loop_
_space_group_symop_operation_xyz
'x,y,z'
loop_
_atom_site_label
_atom_site_fract_x
_atom_site_fract_y
_atom_site_fract_z
Ge1 0.000 0.000 0.500
Ge2 0.000 0.500 0.000
Pd1 0.500 0.500 0.500
Pu1 0.500 0.000 0.000
# Space-group type = P4/mmm (123)
# Calculated volume = 19.19 A^3/atom
# DFT total energy = -30.22 eV per cell
# DOS(E_F) = 11.955 states/eV/cell

No. 7
# Pu4SeS3 PBE relaxed
data_Pu4SeS3
_cell_length_a 5.678
_cell_length_b 5.678
_cell_length_c 5.678
_cell_angle_alpha 90.00
_cell_angle_beta 90.00
_cell_angle_gamma 90.00
_space_group_name_H-M_alt 'P 1'
_space_group_IT_number 1
loop_
_space_group_symop_operation_xyz
'x,y,z'
loop_
_atom_site_label
_atom_site_fract_x
_atom_site_fract_y
_atom_site_fract_z
Pu1 0.500 0.000 0.000
Pu2 0.000 0.500 0.000
Pu3 0.000 0.000 0.500
Pu4 0.500 0.500 0.500
Se1 0.000 0.000 0.000
S1 0.000 0.500 0.500
S2 0.500 0.000 0.500
S3 0.500 0.500 0.000
# Space-group type = Pm-3m (221)
# Calculated volume = 22.89 A^3/atom
# Formation energy (no corrections) = -1675 meV/atom
# DFT total energy = -86.59 eV per cell
# DOS(E_F) = 34.377 states/eV/cell

No. 8
# KGa2HgRu PBE relaxed
data_KGa2HgRu
_cell_length_a 4.839
_cell_length_b 4.839
_cell_length_c 5.408
_cell_angle_alpha 90.00
_cell_angle_beta 90.00
_cell_angle_gamma 90.00
_space_group_name_H-M_alt 'P 1'
_space_group_IT_number 1
loop_
_space_group_symop_operation_xyz
'x,y,z'
loop_
_atom_site_label
_atom_site_fract_x
_atom_site_fract_y
_atom_site_fract_z
Ru1 0.000 0.000 0.000
K1 0.500 0.500 0.500
Hg1 0.000 0.000 0.500
Ga1 0.000 0.500 0.000
Ga2 0.500 0.000 0.000
# Space-group type = P4/mmm (123)
# Calculated volume = 25.33 A^3/atom
# DFT total energy = -17.66 eV per cell
# DOS(E_F) = 2.475 states/eV/cell

No. 9
# Cd2IrRh PBE relaxed
data_Cd2IrRh
_cell_length_a 7.453
_cell_length_b 7.453
_cell_length_c 5.922
_cell_angle_alpha 51.01
_cell_angle_beta 51.01
_cell_angle_gamma 90.00
_space_group_name_H-M_alt 'P 1'
_space_group_IT_number 1
loop_
_space_group_symop_operation_xyz
'x,y,z'
loop_
_atom_site_label
_atom_site_fract_x
_atom_site_fract_y
_atom_site_fract_z
Ir1 0.000 0.000 0.000
Ir2 0.750 0.250 0.500
Rh1 0.500 0.500 0.000
Rh2 0.250 0.750 0.500
Cd1 0.624 0.125 0.250
Cd2 0.126 0.625 0.250
Cd3 0.375 0.376 0.750
Cd4 0.875 0.874 0.750
# Space-group type = I-42d (122)
# Calculated volume = 18.76 A^3/atom
# DFT total energy = -31.69 eV per cell
# DOS(E_F) = 8.789 states/eV/cell

No. 10
# LaSm5Tm2 PBE relaxed
data_LaSm5Tm2
_cell_length_a 7.228
_cell_length_b 7.228
_cell_length_c 7.228
_cell_angle_alpha 89.40
_cell_angle_beta 120.34
_cell_angle_gamma 120.34
_space_group_name_H-M_alt 'P 1'
_space_group_IT_number 1
loop_
_space_group_symop_operation_xyz
'x,y,z'
loop_
_atom_site_label
_atom_site_fract_x
_atom_site_fract_y
_atom_site_fract_z
La1 0.000 0.222 0.222
Sm1 0.500 0.722 0.722
Sm2 0.000 0.222 0.722
Sm3 0.000 0.722 0.222
Sm4 0.500 0.222 0.222
Sm5 0.000 0.722 0.722
Tm1 0.500 0.222 0.722
Tm2 0.500 0.722 0.222
# Space-group type = I4/mmm (139)
# Calculated volume = 33.20 A^3/atom
# DFT total energy = -37.34 eV per cell
# DOS(E_F) = 11.298 states/eV/cell

No. 11
# TbGdPuTh PBE relaxed
data_TbGdPuTh
_cell_length_a 5.570
_cell_length_b 5.570
_cell_length_c 5.570
_cell_angle_alpha 60.00
_cell_angle_beta 60.00
_cell_angle_gamma 60.00
_space_group_name_H-M_alt 'P 1'
_space_group_IT_number 1
loop_
_space_group_symop_operation_xyz
'x,y,z'
loop_
_atom_site_label
_atom_site_fract_x
_atom_site_fract_y
_atom_site_fract_z
Gd1 0.500 0.500 0.500
Tb1 0.750 0.750 0.750
Th1 0.250 0.250 0.250
Pu1 0.000 0.000 0.000
# Space-group type = F-43m (216)
# Calculated volume = 30.55 A^3/atom
# DFT total energy = -39.53 eV per cell
# DOS(E_F) = 15.056 states/eV/cell

No. 12
# AcPrPb PBE relaxed
data_AcPrPb
_cell_length_a 6.587
_cell_length_b 3.656
_cell_length_c 9.662
_cell_angle_alpha 79.09
_cell_angle_beta 90.00
_cell_angle_gamma 90.00
_space_group_name_H-M_alt 'P 1'
_space_group_IT_number 1
loop_
_space_group_symop_operation_xyz
'x,y,z'
loop_
_atom_site_label
_atom_site_fract_x
_atom_site_fract_y
_atom_site_fract_z
Pr1 0.750 0.669 0.662
Pr2 0.250 0.331 0.338
Ac1 0.500 0.000 0.000
Ac2 0.000 0.000 0.000
Pb1 0.750 0.839 0.321
Pb2 0.250 0.161 0.679
# Space-group type = Cmcm (63)
# Calculated volume = 38.08 A^3/atom
# DFT total energy = -25.51 eV per cell
# DOS(E_F) = 7.010 states/eV/cell

- Which of these has the lowest calculated volume?
  NbVIrRu